1.
DFT (PBE) results for a geometry-optimized ScAgPt2 structure.

Computed properties:
As for the formation energy: -749 meV/atom.

Cell lengths 5.083, 5.083, 5.083 Å; angles 133.74, 133.74, 67.49 degrees
Sites, in units of the cell vectors:
1 Sc 0.500 0.500 0.000
2 Ag 0.250 0.750 0.500
3 Pt 0.750 0.250 0.500
4 Pt 0.000 0.000 0.000

2.
DFT (PBE) results for a geometry-optimized Ca2ReSe structure.

Computed properties:
The calculation puts the formation energy (no corrections) at 0.100 eV/atom.

Cell lengths 5.370, 5.370, 3.115 Å; angles 90.02, 90.02, 103.28 degrees
Sites, in units of the cell vectors:
1 Re 0.500 0.000 0.500
2 Se 0.000 0.500 0.500
3 Ca 0.500 0.500 0.000
4 Ca 0.000 0.000 0.000

3.
DFT (PBE) results for a geometry-optimized Pm4Er5Tl2 structure.

Computed properties:
As for the formation energy: 237 meV/atom.

Cell lengths 5.218, 5.218, 16.250 Å; angles 80.76, 80.76, 60.00 degrees
Sites, in units of the cell vectors:
1 Pm 0.724 0.724 0.829
2 Er 0.801 0.801 0.597
3 Er 0.199 0.199 0.403
4 Tl 0.126 0.126 0.622
5 Pm 0.573 0.573 0.280
6 Er 0.351 0.351 0.946
7 Pm 0.427 0.427 0.720
8 Tl 0.874 0.874 0.378
9 Pm 0.276 0.276 0.171
10 Er 0.500 0.500 0.500
11 Er 0.649 0.649 0.054

4.
DFT (PBE) results for a geometry-optimized SbWSe2 structure.

Computed properties:
The calculation puts the formation energy (no corrections) at 0.550 eV/atom.

Cell lengths 6.601, 6.601, 6.959 Å; angles 61.69, 61.69, 90.00 degrees
Sites, in units of the cell vectors:
1 Sb 0.500 0.500 0.000
2 Se 0.875 0.942 0.750
3 Se 0.375 0.308 0.750
4 W 0.750 0.250 0.500
5 Se 0.058 0.625 0.250
6 Sb 0.250 0.750 0.500
7 W 0.000 0.000 0.000
8 Se 0.692 0.125 0.250

5.
DFT (PBE) results for a geometry-optimized TiSnP2Ru structure.

Computed properties:
As for the formation energy: 591 meV/atom.

Cell lengths 4.452, 5.632, 4.452 Å; angles 90.00, 90.00, 90.00 degrees
Sites, in units of the cell vectors:
1 Sn 0.000 0.500 0.000
2 P 0.500 0.000 0.000
3 P 0.000 0.000 0.500
4 Ru 0.000 0.000 0.000
5 Ti 0.500 0.500 0.500

6.
DFT (PBE) results for a geometry-optimized NdHg4Pb structure.

Computed properties:
As for the formation energy: -125 meV/atom.

Cell lengths 6.086, 6.086, 6.086 Å; angles 60.00, 60.00, 60.00 degrees
Sites, in units of the cell vectors:
1 Hg 0.625 0.125 0.625
2 Hg 0.625 0.625 0.625
3 Hg 0.125 0.625 0.625
4 Nd 0.250 0.250 0.250
5 Hg 0.625 0.625 0.125
6 Pb 0.000 0.000 0.000